Compound: YHo2P3Rh12
Source: Alexandria
Functional: GGA-PBE
Structure: optimized geometry

Lattice parameters (Å, degrees): 8.9462 8.9462 12.8008 90.00 90.00 120.00
Space group R-3m (No. 166, hexagonal axes)
One atom of each set of equivalent atoms:
Y (0.0000, 0.0000, 0.0000) [3 per cell]
Ho (0.0000, 0.0000, 0.3722) [6 per cell]
P (0.0000, 0.5000, 0.5000) [9 per cell]
Rh (0.0123, 0.5061, 0.3261) [18 per cell]
Rh (0.0242, 0.5121, 0.8826) [18 per cell]

As for the uncorrected energy: -127.58 eV per formula unit. As for the volume: 16.43 Å³ per atom. The value obtained for the magnetization is 0.00 μB/atom. For the energy of formation from the pure elements, the calculation gives -0.4173 eV per atom.

***

Compound: Sc2MnAuN
Source: Alexandria
Functional: GGA-PBE
Structure: optimized geometry

Lattice parameters (Å, degrees): 4.535 4.535 3.670 90.00 90.00 90.00
Space group P4/mmm (No. 123)
One atom of each set of equivalent atoms:
Sc (0.000, 0.500, 0.000) [2 per cell]
Mn (0.000, 0.000, 0.500) [1 per cell]
Au (0.500, 0.500, 0.500) [1 per cell]
N (0.000, 0.000, 0.000) [1 per cell]

As for the uncorrected energy: -38.08 eV per formula unit. As for the volume: 15.09 Å³ per atom. The value obtained for the magnetization is 0.15 μB/atom. For the energy relative to the elements, uncorrected, the calculation gives -928 meV per atom.

***

Compound: CdNi2Bi2
Source: Alexandria
Functional: GGA-PBE
Structure: optimized geometry

Lattice parameters (Å, degrees): 7.185 7.185 3.895 90.00 90.00 90.00
Space group P4/mbm (No. 127)
One atom of each set of equivalent atoms:
Cd (0.000, 0.000, 0.000) [2 per cell]
Ni (0.128, 0.372, 0.000) [4 per cell]
Bi (0.166, 0.666, 0.500) [4 per cell]

As for the uncorrected energy: -19.69 eV per formula unit. The value obtained for the distance to the lowest polymorph of the same formula is 0 meV/atom. As for the volume: 20.11 Å³ per atom. The value obtained for the magnetization is 0.00 μB/atom. For the energy of formation from the pure elements, the calculation gives 0.1107 eV per atom.

***

Compound: Rb2TeP
Source: Alexandria
Functional: GGA-PBE
Structure: optimized geometry

Lattice parameters (Å, degrees): 12.855 12.855 5.468 90.00 90.00 90.00
Space group I-42d (No. 122)
One atom of each set of equivalent atoms:
Rb (0.017, 0.250, 0.125) [8 per cell]
Te (0.000, 0.000, 0.500) [4 per cell]
P (0.000, 0.000, 0.000) [4 per cell]

As for the uncorrected energy: -11.46 eV per formula unit. The value obtained for the distance to the lowest polymorph of the same formula is 0 meV/atom. As for the volume: 56.48 Å³ per atom. The value obtained for the magnetization is 0.00 μB/atom. For the energy relative to the elements, uncorrected, the calculation gives -243 meV per atom.

***

Compound: Rb3Hg2Se4
Source: Alexandria
Functional: GGA-PBE
Structure: optimized geometry

Lattice parameters (Å, degrees): 14.885 4.407 10.224 90.00 116.40 90.00
Space group C2/m (No. 12)
One atom of each set of equivalent atoms:
Rb (0.000, 0.000, 0.000) [2 per cell]
Rb (0.111, 0.500, 0.701) [4 per cell]
Hg (0.177, 0.500, 0.324) [4 per cell]
Se (0.111, 0.000, 0.413) [4 per cell]
Se (0.205, 0.500, 0.090) [4 per cell]

As for the uncorrected energy: -23.42 eV per formula unit. The value obtained for the distance to the lowest polymorph of the same formula is 23 meV/atom. As for the volume: 33.38 Å³ per atom. The value obtained for the magnetization is 0.00 μB/atom. For the energy relative to the elements, uncorrected, the calculation gives -663 meV per atom.

***

Compound: ZnReMo2
Source: Alexandria
Functional: GGA-PBE
Structure: optimized geometry

Lattice parameters (Å, degrees): 3.155 4.377 8.929 90.00 90.00 90.00
Space group Cmmm (No. 65)
One atom of each set of equivalent atoms:
Zn (0.000, 0.000, 0.000) [2 per cell]
Re (0.000, 0.000, 0.500) [2 per cell]
Mo (0.000, 0.500, 0.252) [4 per cell]

As for the uncorrected energy: -34.83 eV per formula unit. As for the volume: 15.42 Å³ per atom. The value obtained for the magnetization is 0.00 μB/atom. For the energy of formation from the pure elements, the calculation gives 0.1393 eV per atom.

***

What did the sixth record say?
Compound: ZnReMo2
Source: Alexandria
Functional: GGA-PBE
Structure: optimized geometry

Lattice parameters (Å, degrees): 3.155 4.377 8.929 90.00 90.00 90.00
Space group Cmmm (No. 65)
One atom of each set of equivalent atoms:
Zn (0.000, 0.000, 0.000) [2 per cell]
Re (0.000, 0.000, 0.500) [2 per cell]
Mo (0.000, 0.500, 0.252) [4 per cell]

As for the uncorrected energy: -34.83 eV per formula unit. As for the volume: 15.42 Å³ per atom. The value obtained for the magnetization is 0.00 μB/atom. For the energy of formation from the pure elements, the calculation gives 0.1393 eV per atom.

***

> Number 3 is which compound?

CdNi2Bi2

***

> Which of these has the highest uncorrected energy?

Rb2TeP

***

What did the first record say?
Compound: YHo2P3Rh12
Source: Alexandria
Functional: GGA-PBE
Structure: optimized geometry

Lattice parameters (Å, degrees): 8.9462 8.9462 12.8008 90.00 90.00 120.00
Space group R-3m (No. 166, hexagonal axes)
One atom of each set of equivalent atoms:
Y (0.0000, 0.0000, 0.0000) [3 per cell]
Ho (0.0000, 0.0000, 0.3722) [6 per cell]
P (0.0000, 0.5000, 0.5000) [9 per cell]
Rh (0.0123, 0.5061, 0.3261) [18 per cell]
Rh (0.0242, 0.5121, 0.8826) [18 per cell]

As for the uncorrected energy: -127.58 eV per formula unit. As for the volume: 16.43 Å³ per atom. The value obtained for the magnetization is 0.00 μB/atom. For the energy of formation from the pure elements, the calculation gives -0.4173 eV per atom.